Entry 1:
A relaxed structure of HoAlAsO, computed with GGA-PBE.

Properties
Total magnetic moment = 0.0 μB/f.u.
Total DFT energy (no corrections) = -6.10 eV/atom
E above lowest polymorph = 5.9 kJ/mol of atoms

abc: 3.9368 4.8011 6.8010
angles: 90.00 90.00 90.00
Last column: nearest neighbours and their distance in Å.
Space group Pmc2_1 (No. 26)
Symmetry-distinct sites (fractional):
Ho 0.0000 0.1869 0.0000  2 O 2.43-2.46
Al 0.5000 0.3462 0.3418  2 O 1.97
As 0.5000 0.1566 0.6884  3 Al 2.53-2.63
O 0.0000 0.3558 0.3362  2 Al 1.97

---

Entry 2:
A relaxed structure of Al2AsIr, computed with GGA-PBE.

Properties
Total magnetic moment = 0.0 μB/f.u.
Total DFT energy (no corrections) = -5.29 eV/atom

abc: 6.3164 6.3164 6.3164
angles: 90.00 90.00 90.00
Last column: nearest neighbours and their distance in Å.
Space group F-43m (No. 216)
Symmetry-distinct sites (fractional):
Al 0.0000 0.0000 0.0000  4 Al 2.74, 4 Ir 2.74
Al 0.2500 0.2500 0.2500  4 As 2.74, 4 Al 2.74
As 0.0000 0.0000 0.5000  4 Al 2.74, 4 Ir 2.74
Ir 0.2500 0.2500 0.7500  4 As 2.74, 4 Al 2.74

---

Entry 3:
A relaxed structure of LiAlAsIr, computed with GGA-PBE.

Properties
Total magnetic moment = 0.0 μB/f.u.
Total DFT energy (no corrections) = -5.24 eV/atom
E above lowest polymorph = 0.0 kJ/mol of atoms

abc: 6.1152 6.1152 6.1152
angles: 90.00 90.00 90.00
Last column: nearest neighbours and their distance in Å.
Space group F-43m (No. 216)
Symmetry-distinct sites (fractional):
Li 0.0000 0.0000 0.0000  4 As 2.65, 4 Al 2.65
Al 0.2500 0.2500 0.2500  4 Li 2.65, 4 Ir 2.65
As 0.2500 0.2500 0.7500  4 Ir 2.65, 4 Li 2.65
Ir 0.0000 0.0000 0.5000  4 Al 2.65, 4 As 2.65

---

Entry 4:
A relaxed structure of LiAlAsIr, computed with GGA-PBE.

Properties
Total magnetic moment = 0.0 μB/f.u.
Total DFT energy (no corrections) = -5.01 eV/atom
E above lowest polymorph = 22.1 kJ/mol of atoms

abc: 6.1531 6.1531 6.1531
angles: 90.00 90.00 90.00
Last column: nearest neighbours and their distance in Å.
Space group F-43m (No. 216)
Symmetry-distinct sites (fractional):
Li 0.0000 0.0000 0.0000  4 As 2.66, 4 Ir 2.66
Al 0.0000 0.0000 0.5000  4 As 2.66, 4 Ir 2.66
As 0.2500 0.2500 0.7500  4 Li 2.66, 4 Al 2.66
Ir 0.2500 0.2500 0.2500  4 Li 2.66, 4 Al 2.66

---

Entry 5:
A relaxed structure of NaAlAsIr, computed with GGA-PBE.

Properties
Total magnetic moment = 0.0 μB/f.u.
Total DFT energy (no corrections) = -4.53 eV/atom
E above lowest polymorph = 24.6 kJ/mol of atoms

abc: 6.3948 6.3948 6.3948
angles: 90.00 90.00 90.00
Last column: nearest neighbours and their distance in Å.
Space group F-43m (No. 216)
Symmetry-distinct sites (fractional):
Na 0.0000 0.0000 0.0000  4 As 2.77, 4 Ir 2.77
Al 0.0000 0.0000 0.5000  4 As 2.77, 4 Ir 2.77
As 0.2500 0.2500 0.7500  4 Na 2.77, 4 Al 2.77
Ir 0.2500 0.2500 0.2500  4 Al 2.77, 4 Na 2.77

---

Entry 6:
A relaxed structure of NaAlAsIr, computed with GGA-PBE.

Properties
Total magnetic moment = 0.0 μB/f.u.
Total DFT energy (no corrections) = -4.35 eV/atom
E above lowest polymorph = 42.6 kJ/mol of atoms

abc: 6.4138 6.4138 6.4138
angles: 90.00 90.00 90.00
Last column: nearest neighbours and their distance in Å.
Space group F-43m (No. 216)
Symmetry-distinct sites (fractional):
Na 0.0000 0.0000 0.0000  4 Ir 2.78, 4 Al 2.78
Al 0.2500 0.2500 0.7500  4 As 2.78, 4 Na 2.78
As 0.0000 0.0000 0.5000  4 Al 2.78, 4 Ir 2.78
Ir 0.2500 0.2500 0.2500  4 As 2.78, 4 Na 2.78